Density functional theory data (GGA-PBEsol) for an optimized crystal structure of RbSb3Os.

Unit cell a=5.256 b=5.256 c=5.256 alpha=90.00 beta=90.00 gamma=90.00
Sites, in units of the cell vectors:
Rb 0.000 0.000 0.000
Sb 0.000 0.500 0.500
Sb 0.500 0.000 0.500
Sb 0.500 0.500 0.000
Os 0.500 0.500 0.500

Properties
Volume in Å³ per atom: 29.04
Spin magnetization in μB/atom: 0.00
Energy relative to the elements, uncorrected in eV per atom: 0.4453